Here is a geometry-optimized Li3Pr2PuS6 structure from Alexandria. Energies are from PBE.

The total energy is -6.205 eV per atom. Its crystal system is monoclinic. The formation energy (no corrections) comes out at -161.3 kJ/mol of atoms. Its total magnetic moment is 10.00 μB/cell.

The space group is C2/m (No. 12) and the conventional cell measures 7.0235, 12.1997 and 6.6034 Å, with angles of 90.00, 110.44 and 90.00 degrees. The asymmetric unit holds Li at (0.0000, 0.0000, 0.0000), Li at (0.0000, 0.3429, 0.0000), Pr at (0.0000, 0.1674, 0.5000), Pu at (0.0000, 0.5000, 0.5000), S at (0.2421, 0.5000, 0.2455) and S at (0.2466, 0.3378, 0.7565).